## AcHgWO6 (PBE+U)

Data for a relaxed AcHgWO6 crystal.

Geometry as POSCAR:
```
AcHgWO6
1.0
5.2493 0.0000 0.0000
0.0000 5.2493 0.0000
0.0000 0.0000 10.4715
Ac Hg W O
2 2 2 12
direct
0.0000 0.0000 0.0000
0.5000 0.5000 0.5000
0.0000 0.0000 0.3278
0.5000 0.5000 0.8278
0.0000 0.0000 0.6664
0.5000 0.5000 0.1664
0.1692 0.1692 0.5154
0.1830 0.1830 0.7919
0.2348 0.2348 0.1645
0.2652 0.7348 0.6645
0.3170 0.6830 0.2919
0.3308 0.6692 0.0154
0.6692 0.3308 0.0154
0.6830 0.3170 0.2919
0.7348 0.2652 0.6645
0.7652 0.7652 0.1645
0.8170 0.8170 0.7919
0.8308 0.8308 0.5154
```

Output
magnetization	2.16	μB per cell
raw total energy	-0.470	Ry/atom
space group	P4_2nm (102)